First-principles (GGA-PBEsol) data for a relaxed AgPb3 crystal, as listed in Alexandria.

Its crystal system is monoclinic. As for the density of states at the Fermi level: 0.446 states/eV per atom. For the energy relative to the elements, the calculation gives 0.092 eV/atom.

abc: 6.042 6.042 5.677
angles: 108.56 108.56 32.42
Fractional positions:
Ag (0.000, 0.000, 0.000)
Pb (0.275, 0.275, 0.771)
Pb (0.500, 0.500, 0.500)
Pb (0.725, 0.725, 0.229)